(1)
! LaSbO2 PBEsol relaxed; values from VASP
&SYSTEM
  ibrav = 0, nat = 8, ntyp = 3
/
ATOMIC_SPECIES
O 16.00 O.upf
Sb 121.76 Sb.upf
La 138.91 La.upf
ATOMIC_POSITIONS crystal
O 0.339 0.875 0.250
O 0.125 0.089 0.750
Sb 0.750 0.250 0.500
La 0.000 0.000 0.000
Sb 0.500 0.500 0.000
O 0.625 0.661 0.750
O 0.911 0.375 0.250
La 0.250 0.750 0.500
CELL_PARAMETERS angstrom
-1.466 -5.084 -1.927
2.097 -2.370 4.658
-5.030 4.192 0.993
! - ΔE_f (raw) (eV per atom) = -1.69
! - uncorrected energy (eV/atom) = -6.786
! - symmetry = No. 122

(2)
! Mn2HgSe2 PBEsol relaxed; values from VASP
&SYSTEM
  ibrav = 0, nat = 5, ntyp = 3
/
ATOMIC_SPECIES
Se 78.96 Se.upf
Hg 200.59 Hg.upf
Mn 54.94 Mn.upf
ATOMIC_POSITIONS crystal
Se 0.345 0.345 0.691
Hg 0.000 0.000 0.000
Mn 0.250 0.750 0.500
Se 0.655 0.655 0.309
Mn 0.750 0.250 0.500
CELL_PARAMETERS angstrom
-3.248 1.357 -0.265
-1.316 -3.242 -0.467
1.305 0.179 8.428
! - ΔE_f (raw) (eV per atom) = -0.20
! - uncorrected energy (eV/atom) = -5.754
! - symmetry = No. 139

(3)
! Ca2YIn2 PBEsol relaxed; values from VASP
&SYSTEM
  ibrav = 0, nat = 10, ntyp = 3
/
ATOMIC_SPECIES
Ca 40.08 Ca.upf
Y 88.91 Y.upf
In 114.82 In.upf
ATOMIC_POSITIONS crystal
Ca 0.500 0.670 0.830
Ca 0.500 0.830 0.330
Y 0.000 0.500 0.500
In 0.000 0.871 0.629
In 0.000 0.371 0.871
Ca 0.500 0.170 0.670
Y 0.000 0.000 0.000
In 0.000 0.129 0.371
Ca 0.500 0.330 0.170
In 0.000 0.629 0.129
CELL_PARAMETERS angstrom
4.013 0.000 0.000
0.000 8.527 0.000
0.000 0.000 8.527
! - energy of formation from the pure elements (eV per atom) = -0.362
! - uncorrected energy (eV/atom) = -3.773
! - symmetry = No. 127

(4)
! YMoAu2 PBEsol relaxed; values from VASP
&SYSTEM
  ibrav = 0, nat = 4, ntyp = 3
/
ATOMIC_SPECIES
Mo 95.94 Mo.upf
Y 88.91 Y.upf
Au 196.97 Au.upf
ATOMIC_POSITIONS crystal
Mo 0.000 0.000 0.474
Y 0.500 0.500 0.752
Au 0.000 0.000 0.015
Au 0.500 0.500 0.259
CELL_PARAMETERS angstrom
2.979 0.000 0.000
0.000 2.979 0.000
0.000 0.000 8.364
! - energy of formation from the pure elements (eV per atom) = 0.038
! - ΔE to the lowest computed polymorph (meV/atom) = 130
! - uncorrected energy (eV/atom) = -6.571
! - symmetry = No. 99

(5)
! LiCd2Pb PBEsol relaxed; values from VASP
&SYSTEM
  ibrav = 0, nat = 4, ntyp = 3
/
ATOMIC_SPECIES
Pb 207.20 Pb.upf
Li 6.94 Li.upf
Cd 112.41 Cd.upf
ATOMIC_POSITIONS crystal
Pb 0.500 0.500 0.735
Li 0.000 0.000 0.476
Cd 0.500 0.500 0.262
Cd 0.000 0.000 0.027
CELL_PARAMETERS angstrom
-0.364 0.084 3.584
3.504 -0.754 0.374
1.421 6.600 -0.011
! - energy of formation from the pure elements (eV per atom) = -0.109
! - uncorrected energy (eV/atom) = -2.199
! - symmetry = No. 99

(6)
! SrIrAu2 PBEsol relaxed; values from VASP
&SYSTEM
  ibrav = 0, nat = 4, ntyp = 3
/
ATOMIC_SPECIES
Sr 87.62 Sr.upf
Au 196.97 Au.upf
Ir 192.22 Ir.upf
ATOMIC_POSITIONS crystal
Sr 0.500 0.000 0.000
Au 0.000 0.500 0.000
Ir 0.500 0.500 0.500
Au 0.000 0.000 0.500
CELL_PARAMETERS angstrom
-3.071 1.619 2.118
-2.126 -3.733 -0.228
1.854 -1.280 3.666
! - energy of formation from the pure elements (eV per atom) = -0.011
! - ΔE to the lowest computed polymorph (meV/atom) = 0
! - uncorrected energy (eV/atom) = -4.889
! - symmetry = No. 123

(7)
! Zr3Hg2 PBEsol relaxed; values from VASP
&SYSTEM
  ibrav = 0, nat = 10, ntyp = 2
/
ATOMIC_SPECIES
Hg 200.59 Hg.upf
Zr 91.22 Zr.upf
ATOMIC_POSITIONS crystal
Hg 0.207 0.440 0.100
Zr 0.433 0.108 0.800
Zr 0.791 0.392 0.300
Zr 0.741 0.892 0.200
Zr 0.072 0.000 0.000
Hg 0.897 0.060 0.600
Zr 0.882 0.608 0.700
Hg 0.357 0.940 0.400
Zr 0.322 0.500 0.500
Hg 0.547 0.560 0.900
CELL_PARAMETERS angstrom
5.721 0.000 0.000
2.861 5.153 0.000
-2.861 0.000 7.180
! - energy of formation from the pure elements (eV per atom) = -0.180
! - uncorrected energy (eV/atom) = -5.861
! - symmetry = No. 43

(8)
! GdLuIr2 PBEsol relaxed; values from VASP
&SYSTEM
  ibrav = 0, nat = 4, ntyp = 3
/
ATOMIC_SPECIES
Gd 157.25 Gd.upf
Ir 192.22 Ir.upf
Lu 174.97 Lu.upf
ATOMIC_POSITIONS crystal
Gd 0.500 0.500 0.500
Ir 0.750 0.750 0.750
Lu 0.000 0.000 0.000
Ir 0.250 0.250 0.250
CELL_PARAMETERS angstrom
-2.604 -3.936 0.519
1.501 -4.102 -1.861
1.510 -3.486 2.847
! - energy of formation from the pure elements (eV per atom) = -0.807
! - uncorrected energy (eV/atom) = -10.549
! - symmetry = No. 225

(9)
! YOs2Au PBEsol relaxed; values from VASP
&SYSTEM
  ibrav = 0, nat = 4, ntyp = 3
/
ATOMIC_SPECIES
Os 190.23 Os.upf
Au 196.97 Au.upf
Y 88.91 Y.upf
ATOMIC_POSITIONS crystal
Os 0.500 0.500 0.216
Au 0.500 0.500 0.770
Y 0.000 0.000 0.490
Os 0.000 0.000 0.023
CELL_PARAMETERS angstrom
2.903 0.000 0.000
0.000 2.903 0.000
0.000 0.000 8.118
! - energy of formation from the pure elements (eV per atom) = 0.072
! - ΔE to the lowest computed polymorph (meV/atom) = 0
! - uncorrected energy (eV/atom) = -8.722
! - symmetry = No. 99

(10)
! LiSbS PBEsol relaxed; values from VASP
&SYSTEM
  ibrav = 0, nat = 12, ntyp = 3
/
ATOMIC_SPECIES
Sb 121.76 Sb.upf
Li 6.94 Li.upf
S 32.06 S.upf
ATOMIC_POSITIONS crystal
Sb 0.584 0.000 0.497
Li 0.834 0.750 0.000
Sb 0.084 0.000 0.503
Li 0.334 0.250 0.000
S 0.584 0.500 0.846
Li 0.834 0.250 0.000
Li 0.334 0.750 0.000
S 0.584 0.000 0.154
Sb 0.084 0.500 0.497
S 0.084 0.000 0.846
S 0.084 0.500 0.154
Sb 0.584 0.500 0.503
CELL_PARAMETERS angstrom
6.153 0.000 0.000
0.000 6.155 0.000
0.000 0.000 7.096
! - ΔE to the lowest computed polymorph (meV/atom) = 9
! - ΔE_f (raw) (eV per atom) = -0.71
! - uncorrected energy (eV/atom) = -4.348
! - symmetry = No. 129

(11)
! ZnHgAu PBEsol relaxed; values from VASP
&SYSTEM
  ibrav = 0, nat = 3, ntyp = 3
/
ATOMIC_SPECIES
Zn 65.41 Zn.upf
Au 196.97 Au.upf
Hg 200.59 Hg.upf
ATOMIC_POSITIONS crystal
Zn 0.347 0.347 0.695
Au 0.983 0.983 0.966
Hg 0.670 0.670 0.339
CELL_PARAMETERS angstrom
3.392 0.000 0.000
0.000 3.394 0.000
-1.696 -1.697 4.531
! - energy of formation from the pure elements (eV per atom) = -0.033
! - ΔE to the lowest computed polymorph (meV/atom) = 0
! - uncorrected energy (eV/atom) = -2.058
! - symmetry = No. 107

(12)
! Li5MnSi2O8 PBEsol relaxed; values from VASP
&SYSTEM
  ibrav = 0, nat = 16, ntyp = 4
/
ATOMIC_SPECIES
O 16.00 O.upf
Li 6.94 Li.upf
Si 28.09 Si.upf
Mn 54.94 Mn.upf
ATOMIC_POSITIONS crystal
O 0.690 0.682 0.443
Li 0.307 0.693 0.500
O 0.852 0.200 0.737
O 0.147 0.801 0.253
Si 0.836 0.821 0.236
Li 0.818 0.802 0.751
Li 0.671 0.329 0.000
O 0.800 0.148 0.263
O 0.697 0.707 0.018
O 0.318 0.310 0.557
Li 0.198 0.182 0.249
O 0.199 0.853 0.747
Li 0.316 0.684 0.000
Mn 0.678 0.322 0.500
O 0.293 0.303 0.982
Si 0.179 0.164 0.764
CELL_PARAMETERS angstrom
-2.885 -3.816 1.916
2.101 1.075 4.581
-4.587 4.177 0.915
! - ΔE_f (raw) (eV per atom) = -2.30
! - uncorrected energy (eV/atom) = -6.865
! - symmetry = No. 5

Which of these has the lowest uncorrected energy?
GdLuIr2